1.
# Li2AgTeI

A geometry-optimized Li2AgTeI structure (PBE-GGA, the Alexandria database).

Computed properties:
Space-group type: P4/mmm, No. 123
N(E_F) (states/eV per atom): 0.348

a = 5.8031 Å, b = 5.8031 Å, c = 5.0053 Å
α = 90.00°, β = 90.00°, γ = 90.00°
Element x y z (fractional)
1 Li 0.0000 0.5000 0.0000
2 Li 0.5000 0.0000 0.0000
3 Ag 0.0000 0.0000 0.0000
4 Te 0.0000 0.0000 0.5000
5 I 0.5000 0.5000 0.5000

---

2.
# Li2Tl3AgI6

A geometry-optimized Li2Tl3AgI6 structure (PBE-GGA, the Alexandria database).

Computed properties:
Space-group type: C2/m, No. 12
N(E_F) (states/eV per atom): 0.000

a = 7.8710 Å, b = 7.8710 Å, c = 8.3454 Å
α = 98.99°, β = 98.99°, γ = 120.13°
Element x y z (fractional)
1 Li 0.1659 0.8341 0.0000
2 Li 0.8341 0.1659 0.0000
3 Tl 0.0000 0.0000 0.5000
4 Tl 0.3339 0.6661 0.5000
5 Tl 0.6661 0.3339 0.5000
6 Ag 0.5000 0.5000 0.0000
7 I 0.0940 0.4307 0.7929
8 I 0.2323 0.2323 0.2047
9 I 0.4307 0.0940 0.7929
10 I 0.5693 0.9060 0.2071
11 I 0.7677 0.7677 0.7953
12 I 0.9060 0.5693 0.2071

---

3.
# LiTl2AgI5

A geometry-optimized LiTl2AgI5 structure (PBE-GGA, the Alexandria database).

Computed properties:
Space-group type: Cmc2_1, No. 36
N(E_F) (states/eV per atom): 0.765

a = 10.9275 Å, b = 10.9275 Å, c = 14.2094 Å
α = 90.00°, β = 90.00°, γ = 156.96°
Element x y z (fractional)
1 Li 0.2149 0.7851 0.5000
2 Li 0.7851 0.2149 0.0000
3 Tl 0.1306 0.8694 0.7948
4 Tl 0.1347 0.8653 0.1694
5 Tl 0.8653 0.1347 0.6694
6 Tl 0.8694 0.1306 0.2948
7 Ag 0.4369 0.5631 0.9181
8 Ag 0.5631 0.4369 0.4181
9 I 0.0320 0.9680 0.5285
10 I 0.2959 0.7041 0.1395
11 I 0.3103 0.6897 0.8564
12 I 0.3464 0.6536 0.4840
13 I 0.4988 0.5012 0.2469
14 I 0.5012 0.4988 0.7469
15 I 0.6536 0.3464 0.9840
16 I 0.6897 0.3103 0.3564
17 I 0.7041 0.2959 0.6395
18 I 0.9680 0.0320 0.0285

---

4.
# LiTlAgI3

A geometry-optimized LiTlAgI3 structure (PBE-GGA, the Alexandria database).

Computed properties:
Space-group type: P2_1/m, No. 11
N(E_F) (states/eV per atom): 0.000

a = 9.3964 Å, b = 4.4299 Å, c = 10.5385 Å
α = 90.00°, β = 103.50°, γ = 90.00°
Element x y z (fractional)
1 Li 0.1456 0.2500 0.1130
2 Li 0.8544 0.7500 0.8870
3 Tl 0.3115 0.7500 0.7839
4 Tl 0.6885 0.2500 0.2161
5 Ag 0.4237 0.7500 0.4136
6 Ag 0.5763 0.2500 0.5864
7 I 0.0474 0.2500 0.8387
8 I 0.2602 0.2500 0.4872
9 I 0.3762 0.7500 0.1346
10 I 0.6238 0.2500 0.8654
11 I 0.7398 0.7500 0.5128
12 I 0.9526 0.7500 0.1613

---

5.
# Li2TmAgI6

A geometry-optimized Li2TmAgI6 structure (PBE-GGA, the Alexandria database).

Computed properties:
Space-group type: R3, No. 146
N(E_F) (states/eV per atom): 0.000

a = 8.3518 Å, b = 8.3518 Å, c = 8.3518 Å
α = 53.96°, β = 53.96°, γ = 53.96°
Element x y z (fractional)
1 Li 0.0000 0.0000 0.0000
2 Li 0.4751 0.4751 0.4751
3 Tm 0.8066 0.8066 0.8066
4 Ag 0.2212 0.2212 0.2212
5 I 0.0724 0.4037 0.7281
6 I 0.2226 0.8707 0.6027
7 I 0.4037 0.7281 0.0724
8 I 0.6027 0.2226 0.8707
9 I 0.7281 0.0724 0.4037
10 I 0.8707 0.6027 0.2226

---

6.
# LiUAg2I8

A geometry-optimized LiUAg2I8 structure (PBE-GGA, the Alexandria database).

Computed properties:
Space-group type: P-1, No. 2

a = 7.5075 Å, b = 7.8377 Å, c = 9.1321 Å
α = 70.95°, β = 88.09°, γ = 76.28°
Element x y z (fractional)
1 Li 0.0000 0.0000 0.0000
2 U 0.0000 0.0000 0.5000
3 Ag 0.4496 0.3728 0.1520
4 Ag 0.5504 0.6272 0.8480
5 I 0.1059 0.2446 0.2020
6 I 0.1165 0.2133 0.6719
7 I 0.3633 0.7677 0.0720
8 I 0.3698 0.7535 0.5451
9 I 0.6302 0.2465 0.4549
10 I 0.6367 0.2323 0.9280
11 I 0.8835 0.7867 0.3281
12 I 0.8941 0.7554 0.7980

---

7.
# Li2YAgI6

A geometry-optimized Li2YAgI6 structure (PBE-GGA, the Alexandria database).

Computed properties:
Space-group type: P1, No. 1
N(E_F) (states/eV per atom): 0.000

a = 7.6022 Å, b = 7.6042 Å, c = 8.3796 Å
α = 90.01°, β = 116.96°, γ = 119.99°
Element x y z (fractional)
1 Li 0.0000 0.0000 0.0000
2 Li 0.0498 0.5254 0.5739
3 Y 0.6613 0.3309 0.9924
4 Ag 0.4934 0.7471 0.2409
5 I 0.1450 0.3956 0.2718
6 I 0.1759 0.2525 0.7769
7 I 0.5214 0.1264 0.2716
8 I 0.5248 0.9241 0.7769
9 I 0.8530 0.6009 0.7769
10 I 0.8757 0.7499 0.2717

---

8.
# Li2ZnAgI6

A geometry-optimized Li2ZnAgI6 structure (PBE-GGA, the Alexandria database).

Computed properties:
Space-group type: C2/c, No. 15
N(E_F) (states/eV per atom): 0.132

a = 12.0716 Å, b = 12.0716 Å, c = 6.6585 Å
α = 104.51°, β = 104.51°, γ = 99.42°
Element x y z (fractional)
1 Li 0.1067 0.3191 0.3105
2 Li 0.3191 0.1067 0.8105
3 Li 0.6809 0.8933 0.1895
4 Li 0.8933 0.6809 0.6895
5 Zn 0.3166 0.6834 0.7500
6 Zn 0.6834 0.3166 0.2500
7 Ag 0.3022 0.6978 0.2500
8 Ag 0.6978 0.3022 0.7500
9 I 0.1173 0.6395 0.8525
10 I 0.1382 0.1410 0.4955
11 I 0.1410 0.1382 0.9955
12 I 0.3046 0.4998 0.4216
13 I 0.3605 0.8827 0.6475
14 I 0.4998 0.3046 0.9216
15 I 0.5002 0.6954 0.0784
16 I 0.6395 0.1173 0.3525
17 I 0.6954 0.5002 0.5784
18 I 0.8590 0.8618 0.0045
19 I 0.8618 0.8590 0.5045
20 I 0.8827 0.3605 0.1475

---

Looking at uncorrected formation energy for the records above, in order, we have -94.8, -842.7, -483.7, -397.2, -1013.8, -729.1, -1025.7, -622.3 kJ/mol of formula units.
Looking at E_tot for the records above, in order, we have -2.47, -2.65, -2.47, -2.65, -3.10, -3.24, -3.31, -2.37 eV/atom.
Looking at calculated density for the records above, in order, we have 3.707, 5.851, 5.791, 5.449, 4.938, 4.973, 4.515, 3.570 Mg/m³.